A relaxed structure of UGaOs2. Source: Alexandria, functional GGA-PBE. Values from VASP.

Magnetization = 0.00 μB per formula unit
Total DFT energy (no corrections) = -9.00 eV per atom

Structure (Quantum ESPRESSO input):
```
&SYSTEM
  ibrav = 0, nat = 4, ntyp = 3
/
ATOMIC_SPECIES
U 238.03 U.upf
Ga 69.72 Ga.upf
Os 190.23 Os.upf
ATOMIC_POSITIONS angstrom
U 0.000 0.000 0.000
Ga 0.000 0.000 13.606
Os 0.000 0.000 6.610
Os 0.000 0.000 20.603
CELL_PARAMETERS angstrom
1.435 0.828 9.071
-1.435 0.828 9.071
0.000 -1.657 9.071
```